# Sr2LaRe PBE optimized geometry
# Energy relative to the elements: 4.0 eV per formula unit
# Energy relative to the lowest polymorph listed for this composition: 509 meV/atom
# Crystal system: orthorhombic
data_Sr2LaRe
_space_group_name_H-M_alt 'C m m m'
_space_group_IT_number 65
_space_group_name_Hall '-C 2 2'
_cell_length_a 6.3609
_cell_length_b 11.1585
_cell_length_c 3.2814
_cell_angle_alpha 90.00
_cell_angle_beta 90.00
_cell_angle_gamma 90.00
loop_
_atom_site_label
_atom_site_type_symbol
_atom_site_fract_x
_atom_site_fract_y
_atom_site_fract_z
Sr1 Sr 0.2500 0.2500 0.0000
La1 La 0.0000 0.0000 0.5000
Re1 Re 0.0000 0.5000 0.5000

---

# SrLa3Re PBE optimized geometry
# Energy relative to the elements: 10.0 eV per formula unit
# Energy relative to the lowest polymorph listed for this composition: 1858 meV/atom
# Crystal system: cubic
data_SrLa3Re
_space_group_name_H-M_alt 'P m -3 m'
_space_group_IT_number 221
_space_group_name_Hall '-P 4 2 3'
_cell_length_a 5.5170
_cell_length_b 5.5170
_cell_length_c 5.5170
_cell_angle_alpha 90.00
_cell_angle_beta 90.00
_cell_angle_gamma 90.00
loop_
_atom_site_label
_atom_site_type_symbol
_atom_site_fract_x
_atom_site_fract_y
_atom_site_fract_z
Sr1 Sr 0.0000 0.0000 0.0000
La1 La 0.0000 0.0000 0.5000
Re1 Re 0.5000 0.5000 0.5000

---

# SrLa2Re PBE optimized geometry
# Energy relative to the elements: 2.6 eV per formula unit
# Energy relative to the lowest polymorph listed for this composition: 428 meV/atom
# Crystal system: tetragonal
data_SrLa2Re
_space_group_name_H-M_alt 'P 4/m m m'
_space_group_IT_number 123
_space_group_name_Hall '-P 4 2'
_cell_length_a 5.0318
_cell_length_b 5.0318
_cell_length_c 4.4765
_cell_angle_alpha 90.00
_cell_angle_beta 90.00
_cell_angle_gamma 90.00
loop_
_atom_site_label
_atom_site_type_symbol
_atom_site_fract_x
_atom_site_fract_y
_atom_site_fract_z
Sr1 Sr 0.0000 0.0000 0.0000
La1 La 0.0000 0.5000 0.5000
Re1 Re 0.5000 0.5000 0.0000

---

# SrLaRe PBE optimized geometry
# Energy relative to the elements: 2.1 eV per formula unit
# Energy relative to the lowest polymorph listed for this composition: 103 meV/atom
# Crystal system: trigonal
data_SrLaRe
_space_group_name_H-M_alt 'P 3 m 1'
_space_group_IT_number 156
_cell_length_a 4.8731
_cell_length_b 4.8731
_cell_length_c 3.9592
_cell_angle_alpha 90.00
_cell_angle_beta 90.00
_cell_angle_gamma 120.00
loop_
_space_group_symop_operation_xyz
'x,y,z'
'-y,x-y,z'
'-x+y,-x,z'
'-y,-x,z'
'-x+y,y,z'
'x,x-y,z'
loop_
_atom_site_label
_atom_site_type_symbol
_atom_site_fract_x
_atom_site_fract_y
_atom_site_fract_z
Sr1 Sr 0.0000 0.0000 0.0000
La1 La 0.3333 0.6667 0.5104
Re1 Re 0.6667 0.3333 0.4790

---

# SrLaRe4 PBE optimized geometry
# Energy relative to the elements: 2.0 eV per formula unit
# Crystal system: cubic
data_SrLaRe4
_space_group_name_H-M_alt 'F -4 3 m'
_space_group_IT_number 216
_space_group_name_Hall 'F -4 2 3'
_cell_length_a 7.8347
_cell_length_b 7.8347
_cell_length_c 7.8347
_cell_angle_alpha 90.00
_cell_angle_beta 90.00
_cell_angle_gamma 90.00
loop_
_atom_site_label
_atom_site_type_symbol
_atom_site_fract_x
_atom_site_fract_y
_atom_site_fract_z
Sr1 Sr 0.0000 0.0000 0.0000
La1 La 0.2500 0.2500 0.7500
Re1 Re 0.1250 0.1250 0.3750

---

# Sr2LaRe PBE optimized geometry
# Energy relative to the elements: 3.7 eV per formula unit
# Energy relative to the lowest polymorph listed for this composition: 438 meV/atom
# Crystal system: monoclinic
data_Sr2LaRe
_space_group_name_H-M_alt 'P 1 2/m 1'
_space_group_IT_number 10
_cell_length_a 3.6294
_cell_length_b 5.4193
_cell_length_c 6.3448
_cell_angle_alpha 90.00
_cell_angle_beta 104.33
_cell_angle_gamma 90.00
loop_
_space_group_symop_operation_xyz
'x,y,z'
'-x,-y,-z'
'-x,y,-z'
'x,-y,z'
loop_
_atom_site_label
_atom_site_type_symbol
_atom_site_fract_x
_atom_site_fract_y
_atom_site_fract_z
Sr1 Sr 0.1107 0.0000 0.2776
La1 La 0.5000 0.5000 0.0000
Re1 Re 0.5000 0.5000 0.5000

---

# SrLa2Re PBE optimized geometry
# Energy relative to the elements: 1.5 eV per formula unit
# Energy relative to the lowest polymorph listed for this composition: 138 meV/atom
# Crystal system: orthorhombic
data_SrLa2Re
_space_group_name_H-M_alt 'I m m 2'
_space_group_IT_number 44
_cell_length_a 3.5895
_cell_length_b 4.9441
_cell_length_c 15.7443
_cell_angle_alpha 90.00
_cell_angle_beta 90.00
_cell_angle_gamma 90.00
loop_
_space_group_symop_operation_xyz
'x,y,z'
'-x,-y,z'
'-x,y,z'
'x,-y,z'
'x+1/2,y+1/2,z+1/2'
'-x+1/2,-y+1/2,z+1/2'
'-x+1/2,y+1/2,z+1/2'
'x+1/2,-y+1/2,z+1/2'
loop_
_atom_site_label
_atom_site_type_symbol
_atom_site_fract_x
_atom_site_fract_y
_atom_site_fract_z
Sr1 Sr 0.0000 0.0000 0.0000
La1 La 0.0000 0.0000 0.3220
La2 La 0.0000 0.5000 0.1680
Re1 Re 0.0000 0.5000 0.6825

---

# Sr2LaRe PBE optimized geometry
# Energy relative to the elements: 4.0 eV per formula unit
# Energy relative to the lowest polymorph listed for this composition: 504 meV/atom
# Crystal system: monoclinic
data_Sr2LaRe
_space_group_name_H-M_alt 'C 1 2/m 1'
_space_group_IT_number 12
_cell_length_a 6.3533
_cell_length_b 11.2759
_cell_length_c 3.2941
_cell_angle_alpha 90.00
_cell_angle_beta 99.54
_cell_angle_gamma 90.00
loop_
_space_group_symop_operation_xyz
'x,y,z'
'-x,-y,-z'
'-x,y,-z'
'x,-y,z'
'x+1/2,y+1/2,z'
'-x+1/2,-y+1/2,-z'
'-x+1/2,y+1/2,-z'
'x+1/2,-y+1/2,z'
loop_
_atom_site_label
_atom_site_type_symbol
_atom_site_fract_x
_atom_site_fract_y
_atom_site_fract_z
Sr1 Sr 0.2500 0.2500 0.0000
La1 La 0.0000 0.0000 0.5000
Re1 Re 0.0000 0.5000 0.5000

---

# SrLa2Re PBE optimized geometry
# Energy relative to the elements: 2.0 eV per formula unit
# Energy relative to the lowest polymorph listed for this composition: 266 meV/atom
# Crystal system: tetragonal
data_SrLa2Re
_space_group_name_H-M_alt 'P 4 m m'
_space_group_IT_number 99
_cell_length_a 3.9136
_cell_length_b 3.9136
_cell_length_c 8.2905
_cell_angle_alpha 90.00
_cell_angle_beta 90.00
_cell_angle_gamma 90.00
loop_
_space_group_symop_operation_xyz
'x,y,z'
'-y,x,z'
'-x,-y,z'
'y,-x,z'
'-x,y,z'
'y,x,z'
'x,-y,z'
'-y,-x,z'
loop_
_atom_site_label
_atom_site_type_symbol
_atom_site_fract_x
_atom_site_fract_y
_atom_site_fract_z
Sr1 Sr 0.0000 0.0000 0.0000
La1 La 0.0000 0.0000 0.6021
La2 La 0.5000 0.5000 0.3867
Re1 Re 0.5000 0.5000 0.7492

---

# SrLa2Re PBE optimized geometry
# Energy relative to the elements: 1.4 eV per formula unit
# Energy relative to the lowest polymorph listed for this composition: 128 meV/atom
# Crystal system: monoclinic
data_SrLa2Re
_space_group_name_H-M_alt 'C 1 m 1'
_space_group_IT_number 8
_cell_length_a 12.5257
_cell_length_b 4.0119
_cell_length_c 6.8438
_cell_angle_alpha 90.00
_cell_angle_beta 122.80
_cell_angle_gamma 90.00
loop_
_space_group_symop_operation_xyz
'x,y,z'
'x,-y,z'
'x+1/2,y+1/2,z'
'x+1/2,-y+1/2,z'
loop_
_atom_site_label
_atom_site_type_symbol
_atom_site_fract_x
_atom_site_fract_y
_atom_site_fract_z
Sr1 Sr 0.0000 0.0000 0.0000
La1 La 0.1834 0.0000 0.7034
La2 La 0.3594 0.0000 0.3388
Re1 Re 0.2145 0.5000 0.0049

---

# Sr4LaRe PBE optimized geometry
# Energy relative to the elements: 7.6 eV per formula unit
# Crystal system: cubic
data_Sr4LaRe
_space_group_name_H-M_alt 'F -4 3 m'
_space_group_IT_number 216
_space_group_name_Hall 'F -4 2 3'
_cell_length_a 9.8449
_cell_length_b 9.8449
_cell_length_c 9.8449
_cell_angle_alpha 90.00
_cell_angle_beta 90.00
_cell_angle_gamma 90.00
loop_
_atom_site_label
_atom_site_type_symbol
_atom_site_fract_x
_atom_site_fract_y
_atom_site_fract_z
Sr1 Sr 0.1240 0.1240 0.3760
La1 La 0.0000 0.0000 0.0000
Re1 Re 0.2500 0.2500 0.7500

---

# SrLa2Re PBE optimized geometry
# Energy relative to the elements: 1.4 eV per formula unit
# Energy relative to the lowest polymorph listed for this composition: 113 meV/atom
# Crystal system: orthorhombic
data_SrLa2Re
_space_group_name_H-M_alt 'I m m m'
_space_group_IT_number 71
_space_group_name_Hall '-I 2 2'
_cell_length_a 3.9543
_cell_length_b 6.1959
_cell_length_c 10.8026
_cell_angle_alpha 90.00
_cell_angle_beta 90.00
_cell_angle_gamma 90.00
loop_
_atom_site_label
_atom_site_type_symbol
_atom_site_fract_x
_atom_site_fract_y
_atom_site_fract_z
Sr1 Sr 0.0000 0.0000 0.0000
La1 La 0.0000 0.5000 0.1805
Re1 Re 0.0000 0.0000 0.5000